Here is a relaxed structure of CeTiP2 from Alexandria. Energies are from PBE.

Output
Energy above the lowest structure with this stoichiometry ... 121.5 meV per atom
Raw total energy ... -7.33 eV per atom
DFT formation energy ... -1.17 eV/atom
SG ... R3m, No. 160

a = 3.776 Å, b = 3.776 Å, c = 6.710 Å
α = 73.66°, β = 73.66°, γ = 60.00°
Last column: magnetic moment on the atom in μB.
Positions (direct):
P 0.096 0.096 0.712  0.00
P 0.237 0.237 0.289  0.00
Ce 0.672 0.672 0.984  0.19
Ti 0.495 0.495 0.515  -0.05


Here is a relaxed structure of CeTiP2 from Alexandria. Energies are from PBE.

Output
Energy above the lowest structure with this stoichiometry ... 177.1 meV per atom
Raw total energy ... -7.27 eV per atom
DFT formation energy ... -1.11 eV/atom
SG ... Pbcm, No. 57

a = 6.408 Å, b = 6.487 Å, c = 7.496 Å
α = 90.00°, β = 90.00°, γ = 90.00°
Positions (direct):
P 0.000 0.250 0.850
P 0.500 0.750 0.590
Ti 0.750 0.078 0.626
P 0.500 0.250 0.410
P 0.000 0.750 0.590
P 0.500 0.250 0.850
P 0.000 0.250 0.410
Ti 0.750 0.578 0.374
Ce 0.250 0.403 0.136
Ce 0.750 0.597 0.864
Ce 0.750 0.097 0.136
P 0.500 0.750 0.150
Ti 0.250 0.422 0.626
Ti 0.250 0.922 0.374
Ce 0.250 0.903 0.864
P 0.000 0.750 0.150


Here is a relaxed structure of CeTiP from Alexandria. Energies are from PBE.

Output
Raw total energy ... -7.11 eV per atom
DFT formation energy ... -0.70 eV/atom
SG ... P-6m2, No. 187

a = 3.877 Å, b = 4.313 Å, c = 4.313 Å
α = 120.00°, β = 90.00°, γ = 90.00°
Last column: magnetic moment on the atom in μB.
Positions (direct):
Ce 0.667 0.667 0.333  0.94
Ti 0.167 0.333 0.667  1.08
P 0.167 0.000 0.000  -0.05


Here is a relaxed structure of CeTiP2 from Alexandria. Energies are from PBE.

Output
Energy above the lowest structure with this stoichiometry ... 0.0 meV per atom
Raw total energy ... -7.45 eV per atom
DFT formation energy ... -1.29 eV/atom
SG ... R-3m, No. 166

a = 3.801 Å, b = 3.801 Å, c = 6.535 Å
α = 73.09°, β = 73.09°, γ = 60.00°
Positions (direct):
P 0.262 0.262 0.214
P 0.738 0.738 0.786
Ti 0.000 0.000 0.000
Ce 0.500 0.500 0.500


Here is a relaxed structure of Ce2TiP3 from Alexandria. Energies are from PBE.

Output
Raw total energy ... -7.27 eV per atom
DFT formation energy ... -1.27 eV/atom
SG ... Immm, No. 71

a = 5.589 Å, b = 7.794 Å, c = 6.720 Å
α = 106.86°, β = 114.57°, γ = 90.00°
Positions (direct):
Ti 0.000 0.750 0.000
P 0.500 0.750 0.000
Ce 0.672 0.586 0.343
P 0.500 0.250 0.000
P 0.852 0.926 0.704
Ti 0.000 0.250 0.000
P 0.148 0.574 0.296
Ce 0.672 0.086 0.343
Ce 0.328 0.414 0.657
Ce 0.328 0.914 0.657
P 0.852 0.426 0.704
P 0.148 0.074 0.296


Here is a relaxed structure of CeTlP2 from Alexandria. Energies are from PBE.

Output
Raw total energy ... -5.26 eV per atom
DFT formation energy ... -0.48 eV/atom
SG ... R-3m, No. 166

a = 4.244 Å, b = 4.244 Å, c = 6.981 Å
α = 72.30°, β = 72.30°, γ = 60.00°
Positions (direct):
P 0.262 0.262 0.214
Tl 0.500 0.500 0.500
Ce 0.000 0.000 0.000
P 0.738 0.738 0.786


Here is a relaxed structure of CeTmP from Alexandria. Energies are from PBE.

Output
Raw total energy ... -5.99 eV per atom
DFT formation energy ... -0.72 eV/atom
SG ... I4mm, No. 107

a = 3.529 Å, b = 3.529 Å, c = 6.444 Å
α = 105.89°, β = 105.89°, γ = 90.00°
Last column: magnetic moment on the atom in μB.
Positions (direct):
Ce 0.250 0.250 0.501  0.70
P 0.612 0.612 0.224  -0.01
Tm 0.987 0.987 0.975  0.16


Here is a relaxed structure of Ce4TmP6 from Alexandria. Energies are from PBE.

Output
Raw total energy ... -6.78 eV per atom
DFT formation energy ... -1.27 eV/atom
SG ... R-3c, No. 167

a = 7.927 Å, b = 7.927 Å, c = 7.927 Å
α = 91.20°, β = 91.20°, γ = 88.80°
Last column: magnetic moment on the atom in μB.
Positions (direct):
P 0.432 0.820 0.415  -0.03
P 0.180 0.415 0.432  -0.03
Ce 0.250 0.630 0.130  0.35
Ce 0.130 0.750 0.630  0.35
Ce 0.250 0.250 0.750  0.28
P 0.415 0.568 0.820  -0.03
P 0.585 0.432 0.180  -0.03
Ce 0.630 0.870 0.750  0.35
Ce 0.870 0.250 0.370  0.35
P 0.820 0.585 0.568  -0.03
P 0.068 0.915 0.320  -0.03
P 0.085 0.320 0.068  -0.03
Tm 0.000 0.000 0.000  0.00
Ce 0.370 0.130 0.250  0.35
Tm 0.500 0.500 0.500  0.00
Ce 0.750 0.370 0.870  0.35
P 0.915 0.680 0.932  -0.03
P 0.932 0.085 0.680  -0.03
Ce 0.750 0.750 0.250  0.28
P 0.680 0.068 0.085  -0.03
P 0.320 0.932 0.915  -0.03
P 0.568 0.180 0.585  -0.03


Here is a relaxed structure of CeTmP from Alexandria. Energies are from PBE.

Output
Raw total energy ... -6.07 eV per atom
DFT formation energy ... -0.80 eV/atom
SG ... P6_3/mmc, No. 194

a = 5.948 Å, b = 4.982 Å, c = 4.982 Å
α = 119.99°, β = 90.00°, γ = 90.00°
Last column: magnetic moment on the atom in μB.
Positions (direct):
Tm 0.250 0.667 0.333  0.00
Ce 0.500 0.000 0.000  0.40
Tm 0.750 0.333 0.667  0.00
Ce 0.000 0.000 0.000  0.40
P 0.750 0.667 0.333  -0.01
P 0.250 0.333 0.667  -0.01


Here is a relaxed structure of Ce5Tm3P8 from Alexandria. Energies are from PBE.

Output
Raw total energy ... -6.93 eV per atom
DFT formation energy ... -1.53 eV/atom
SG ... R-3m, No. 166

a = 8.077 Å, b = 8.077 Å, c = 8.065 Å
α = 59.95°, β = 59.95°, γ = 60.00°
Last column: magnetic moment on the atom in μB.
Positions (direct):
Tm 0.500 0.000 0.500  0.01
Ce 0.000 0.500 0.000  0.49
Tm 0.000 0.000 0.500  0.01
P 0.750 0.750 0.255  -0.02
P 0.755 0.250 0.745  -0.02
P 0.245 0.750 0.255  -0.02
P 0.750 0.245 0.255  -0.02
Ce 0.000 0.000 0.000  0.46
Tm 0.000 0.500 0.500  0.01
Ce 0.500 0.500 0.000  0.49
Ce 0.500 0.000 0.000  0.49
P 0.250 0.755 0.745  -0.02
Ce 0.500 0.500 0.500  0.45
P 0.250 0.250 0.745  -0.02
P 0.248 0.248 0.257  -0.01
P 0.752 0.752 0.743  -0.01


Here is a relaxed structure of CeTm2P from Alexandria. Energies are from PBE.

Output
Raw total energy ... -5.53 eV per atom
DFT formation energy ... -0.46 eV/atom
SG ... R-3m, No. 166

a = 3.637 Å, b = 3.637 Å, c = 10.371 Å
α = 79.90°, β = 79.90°, γ = 60.00°
Last column: magnetic moment on the atom in μB.
Positions (direct):
Tm 0.887 0.887 0.339  0.00
Ce 0.000 0.000 0.000  1.07
P 0.500 0.500 0.500  0.00
Tm 0.113 0.113 0.661  0.00


Here is a relaxed structure of CeTmP from Alexandria. Energies are from PBE.

Output
Raw total energy ... -6.12 eV per atom
DFT formation energy ... -0.85 eV/atom
SG ... P3m1, No. 156

a = 3.850 Å, b = 3.850 Å, c = 6.486 Å
α = 90.00°, β = 90.00°, γ = 120.00°
Last column: magnetic moment on the atom in μB.
Positions (direct):
P 0.667 0.333 0.340  -0.01
Ce 0.000 0.000 0.075  0.97
Tm 0.333 0.667 0.585  0.31


Here is a relaxed structure of CeTmU2P4 from Alexandria. Energies are from PBE.

Output
Raw total energy ... -8.08 eV per atom
DFT formation energy ... -1.25 eV/atom
SG ... P2/m, No. 10

a = 3.956 Å, b = 6.854 Å, c = 6.962 Å
α = 109.15°, β = 90.00°, γ = 90.00°
Last column: magnetic moment on the atom in μB.
Positions (direct):
P 0.500 0.257 0.257  -0.05
U 0.500 0.000 0.500  2.11
P 0.000 0.747 0.254  -0.05
Ce 0.000 0.000 0.000  0.50
P 0.000 0.253 0.746  -0.05
P 0.500 0.743 0.743  -0.05
Tm 0.500 0.500 0.000  0.00
U 0.000 0.500 0.500  1.99


Here is a relaxed structure of Ce2Tm3UP6 from Alexandria. Energies are from PBE.

Output
Raw total energy ... -7.21 eV per atom
DFT formation energy ... -1.45 eV/atom
SG ... C2/m, No. 12

a = 3.987 Å, b = 7.992 Å, c = 8.922 Å
α = 102.88°, β = 102.91°, γ = 90.00°
Last column: magnetic moment on the atom in μB.
Positions (direct):
Tm 0.500 0.500 0.000  0.01
Tm 0.832 0.167 0.664  0.01
P 0.335 0.412 0.670  -0.01
U 0.500 0.000 0.000  2.05
Tm 0.168 0.833 0.336  0.01
Ce 0.166 0.333 0.332  0.49
P 0.665 0.077 0.331  -0.03
P 0.003 0.754 0.005  -0.04
Ce 0.834 0.667 0.668  0.49
P 0.665 0.588 0.330  -0.01
P 0.335 0.923 0.669  -0.03
P 0.997 0.246 0.995  -0.04


Here is a relaxed structure of Ce4TmU3P8 from Alexandria. Energies are from PBE.

Output
Raw total energy ... -7.89 eV per atom
DFT formation energy ... -1.30 eV/atom
SG ... R-3m, No. 166

a = 8.006 Å, b = 8.058 Å, c = 8.007 Å
α = 119.79°, β = 120.00°, γ = 90.00°
Last column: magnetic moment on the atom in μB.
Positions (direct):
P 0.753 0.262 0.009  -0.05
P 0.746 0.738 0.492  -0.06
U 0.500 0.500 0.000  2.01
U 0.000 0.500 0.500  2.01
Ce 0.500 0.000 0.500  0.56
P 0.753 0.262 0.506  -0.05
U 0.500 0.500 0.500  2.01
P 0.254 0.262 0.508  -0.06
P 0.247 0.738 0.991  -0.05
Ce 0.000 0.000 0.500  0.56
Tm 0.000 0.500 0.000  0.01
Ce 0.500 0.000 0.000  0.55
P 0.247 0.738 0.494  -0.05
Ce 0.000 0.000 0.000  0.56
P 0.255 0.262 0.009  -0.05
P 0.745 0.738 0.991  -0.05


Here is a relaxed structure of Ce2YTmP4 from Alexandria. Energies are from PBE.

Output
Raw total energy ... -7.11 eV per atom
DFT formation energy ... -1.56 eV/atom
SG ... P2/m, No. 10

a = 4.038 Å, b = 6.994 Å, c = 6.971 Å
α = 109.53°, β = 90.00°, γ = 90.00°
Last column: magnetic moment on the atom in μB.
Positions (direct):
Y 0.000 0.000 0.000  0.01
P 0.500 0.251 0.246  -0.01
P 0.500 0.749 0.754  -0.01
P 0.000 0.254 0.756  -0.01
Tm 0.500 0.500 0.000  0.00
Ce 0.500 0.000 0.500  0.48
P 0.000 0.746 0.244  -0.01
Ce 0.000 0.500 0.500  0.44


Here is a relaxed structure of Ce2Y3TmP6 from Alexandria. Energies are from PBE.

Output
Raw total energy ... -7.27 eV per atom
DFT formation energy ... -1.58 eV/atom
SG ... C2/m, No. 12

a = 6.972 Å, b = 6.972 Å, c = 6.968 Å
α = 99.60°, β = 99.60°, γ = 120.00°
Last column: magnetic moment on the atom in μB.
Positions (direct):
P 0.586 0.917 0.751  -0.01
Y 0.500 0.500 0.500  0.01
P 0.083 0.414 0.249  -0.01
Tm 0.000 0.000 0.000  0.01
P 0.247 0.247 0.750  -0.01
P 0.753 0.753 0.250  -0.01
Y 0.167 0.833 0.500  0.01
Y 0.833 0.167 0.500  0.01
Ce 0.666 0.334 0.000  0.37
P 0.414 0.083 0.249  -0.01
Ce 0.334 0.666 0.000  0.37
P 0.917 0.586 0.751  -0.01


Here is a relaxed structure of Ce3YTm2P6 from Alexandria. Energies are from PBE.

Output
Raw total energy ... -7.03 eV per atom
DFT formation energy ... -1.56 eV/atom
SG ... C2/m, No. 12

a = 6.985 Å, b = 6.985 Å, c = 6.962 Å
α = 99.63°, β = 99.63°, γ = 120.01°
Last column: magnetic moment on the atom in μB.
Positions (direct):
Tm 0.333 0.667 0.000  0.00
Y 0.000 0.000 0.000  0.01
Tm 0.667 0.333 0.000  0.00
P 0.746 0.746 0.244  -0.01
P 0.417 0.082 0.245  -0.01
P 0.254 0.254 0.756  -0.01
Ce 0.834 0.166 0.500  0.46
P 0.082 0.417 0.245  -0.01
Ce 0.500 0.500 0.500  0.46
P 0.918 0.583 0.755  -0.01
Ce 0.166 0.834 0.500  0.46
P 0.583 0.918 0.755  -0.01


Here is a relaxed structure of CeY2TmP4 from Alexandria. Energies are from PBE.

Output
Raw total energy ... -7.21 eV per atom
DFT formation energy ... -1.59 eV/atom
SG ... P2/m, No. 10

a = 4.016 Å, b = 6.942 Å, c = 6.949 Å
α = 109.41°, β = 90.00°, γ = 90.00°
Last column: magnetic moment on the atom in μB.
Positions (direct):
Y 0.000 0.500 0.500  0.00
Y 0.500 0.000 0.500  0.01
Tm 0.000 0.000 0.000  0.00
P 0.500 0.247 0.247  -0.01
Ce 0.500 0.500 0.000  0.35
P 0.500 0.753 0.753  -0.01
P 0.000 0.247 0.750  -0.01
P 0.000 0.753 0.250  -0.01


Here is a relaxed structure of Ce3TmZr2P6 from Alexandria. Energies are from PBE.

Output
Raw total energy ... -7.48 eV per atom
DFT formation energy ... -1.49 eV/atom
SG ... C2/m, No. 12

a = 6.811 Å, b = 6.811 Å, c = 6.821 Å
α = 99.59°, β = 99.59°, γ = 120.01°
Positions (direct):
P 0.262 0.262 0.767
Zr 0.333 0.667 0.000
Zr 0.667 0.333 0.000
Ce 0.165 0.835 0.500
P 0.417 0.078 0.235
P 0.738 0.738 0.233
P 0.583 0.922 0.765
P 0.078 0.417 0.235
Ce 0.835 0.165 0.500
Ce 0.500 0.500 0.500
Tm 0.000 0.000 0.000
P 0.922 0.583 0.765


Here is a relaxed structure of CeU5P6 from Alexandria. Energies are from PBE.

Output
Raw total energy ... -8.94 eV per atom
DFT formation energy ... -1.04 eV/atom
SG ... C2/m, No. 12

a = 6.862 Å, b = 6.851 Å, c = 6.860 Å
α = 60.05°, β = 80.39°, γ = 70.48°
Last column: magnetic moment on the atom in μB.
Positions (direct):
U 0.500 0.165 0.671  1.91
P 0.252 0.255 0.000  -0.07
U 0.500 0.835 0.329  1.91
P 0.254 0.915 0.661  -0.07
P 0.254 0.576 0.339  -0.07
U 0.500 0.500 0.000  1.91
P 0.746 0.085 0.339  -0.07
P 0.746 0.424 0.661  -0.07
U 0.000 0.333 0.334  1.92
P 0.748 0.745 0.000  -0.07
U 0.000 0.667 0.666  1.92
Ce 0.000 0.000 0.000  0.24


Here is a relaxed structure of CeUP2 from Alexandria. Energies are from PBE.

Output
Energy above the lowest structure with this stoichiometry ... 0.0 meV per atom
Raw total energy ... -8.23 eV per atom
DFT formation energy ... -1.22 eV/atom
SG ... R-3m, No. 166

a = 3.984 Å, b = 3.984 Å, c = 7.039 Å
α = 73.56°, β = 73.56°, γ = 60.00°
Last column: magnetic moment on the atom in μB.
Positions (direct):
U 0.000 0.000 0.000  1.98
Ce 0.500 0.500 0.500  0.45
P 0.746 0.746 0.762  -0.05
P 0.254 0.254 0.238  -0.05


Here is a relaxed structure of Ce2UP from Alexandria. Energies are from PBE.

Output
Raw total energy ... -7.25 eV per atom
DFT formation energy ... -0.11 eV/atom
SG ... R-3m, No. 166

a = 3.595 Å, b = 3.595 Å, c = 9.359 Å
α = 78.93°, β = 78.93°, γ = 60.00°
Last column: magnetic moment on the atom in μB.
Positions (direct):
P 0.500 0.500 0.500  -0.01
Ce 0.101 0.101 0.698  0.57
U 0.000 0.000 0.000  2.46
Ce 0.899 0.899 0.302  0.57


Here is a relaxed structure of CeUP2 from Alexandria. Energies are from PBE.

Output
Energy above the lowest structure with this stoichiometry ... 182.5 meV per atom
Raw total energy ... -8.05 eV per atom
DFT formation energy ... -1.04 eV/atom
SG ... R3m, No. 160

a = 3.882 Å, b = 3.882 Å, c = 7.437 Å
α = 74.87°, β = 74.87°, γ = 60.00°
Last column: magnetic moment on the atom in μB.
Positions (direct):
U 0.497 0.497 0.508  2.22
P 0.248 0.248 0.256  -0.07
Ce 0.670 0.670 0.991  0.49
P 0.085 0.085 0.745  -0.06